Here is an optimized crystal structure of SnHW2O from Alexandria. Energies are from PBE+U.

abc: 4.1498 5.2211 4.1498
angles: 90.00 90.00 90.00
Element x y z (fractional)
O  0.0000  0.0000  0.0000
H  0.5000  0.5000  0.5000
Sn  0.0000  0.5000  0.0000
W  0.0000  0.0000  0.5000
W  0.5000  0.0000  0.0000

Output
size of the total moment: 2.6 μB per formula unit
DOS(E_F): 1.76 states/eV/cell
raw total energy: -21.38 eV per cell